Record 1
The following is a DFT calculation (PBE-GGA) of an optimized crystal structure of KAsS3.

The structure in CIF format:
```
data_KAsS3
_symmetry_space_group_name_H-M 'P m -3 m'
_symmetry_Int_Tables_number 221
_symmetry_space_group_name_Hall '-P 4 2 3'
_cell_length_a 4.8961
_cell_length_b 4.8961
_cell_length_c 4.8961
_cell_angle_alpha 90.00
_cell_angle_beta 90.00
_cell_angle_gamma 90.00
loop_
_atom_site_label
_atom_site_fract_x
_atom_site_fract_y
_atom_site_fract_z
_atom_site_occupancy
K1 0.0000 0.0000 0.0000 1
As1 0.5000 0.5000 0.5000 1
S1 0.0000 0.5000 0.5000 1
```

=====

Record 2
The following is a DFT calculation (PBE-GGA) of an optimized crystal structure of KAs2S3.

The structure in CIF format:
```
data_KAs2S3
_symmetry_space_group_name_H-M 'C m c m'
_symmetry_Int_Tables_number 63
_symmetry_space_group_name_Hall '-C 2c 2'
_cell_length_a 10.4701
_cell_length_b 10.6092
_cell_length_c 6.2593
_cell_angle_alpha 90.00
_cell_angle_beta 90.00
_cell_angle_gamma 90.00
loop_
_atom_site_label
_atom_site_fract_x
_atom_site_fract_y
_atom_site_fract_z
_atom_site_occupancy
K1 0.0000 0.1870 0.2500 1
As1 0.1844 0.5000 0.0000 1
S1 0.0000 0.4230 0.7500 1
S2 0.1976 0.1276 0.7500 1
```

=====

Record 3
The following is a DFT calculation (PBE-GGA) of an optimized crystal structure of K2AsS.

The structure in CIF format:
```
data_K2AsS
_symmetry_space_group_name_H-M 'F m -3 m'
_symmetry_Int_Tables_number 225
_symmetry_space_group_name_Hall '-F 4 2 3'
_cell_length_a 7.8861
_cell_length_b 7.8861
_cell_length_c 7.8861
_cell_angle_alpha 90.00
_cell_angle_beta 90.00
_cell_angle_gamma 90.00
loop_
_atom_site_label
_atom_site_fract_x
_atom_site_fract_y
_atom_site_fract_z
_atom_site_occupancy
K1 0.2500 0.2500 0.2500 1
As1 0.0000 0.0000 0.0000 1
S1 0.0000 0.0000 0.5000 1
```

=====

Record 4
The following is a DFT calculation (PBE-GGA) of an optimized crystal structure of KAsS2.

The structure in CIF format:
```
data_KAsS2
_symmetry_space_group_name_H-M 'P n a 21'
_symmetry_Int_Tables_number 33
_cell_length_a 5.9464
_cell_length_b 12.2164
_cell_length_c 6.5901
_cell_angle_alpha 90.00
_cell_angle_beta 90.00
_cell_angle_gamma 90.00
loop_
_symmetry_equiv_pos_as_xyz
'x,y,z'
'-x,-y,z+1/2'
'-x+1/2,y+1/2,z+1/2'
'x+1/2,-y+1/2,z'
loop_
_atom_site_label
_atom_site_fract_x
_atom_site_fract_y
_atom_site_fract_z
_atom_site_occupancy
K1 0.1021 0.1149 0.0000 1
As1 0.0595 0.3487 0.5438 1
S1 0.0987 0.3754 0.8688 1
S2 0.1633 0.1634 0.4906 1
```

=====

Record 5
The following is a DFT calculation (PBE-GGA) of an optimized crystal structure of K3As5S12.

The structure in CIF format:
```
data_K3As5S12
_symmetry_space_group_name_H-M 'I a -3 d'
_symmetry_Int_Tables_number 230
_symmetry_space_group_name_Hall '-I 4bd 2c 3'
_cell_length_a 15.8289
_cell_length_b 15.8289
_cell_length_c 15.8289
_cell_angle_alpha 90.00
_cell_angle_beta 90.00
_cell_angle_gamma 90.00
loop_
_atom_site_label
_atom_site_fract_x
_atom_site_fract_y
_atom_site_fract_z
_atom_site_occupancy
K1 0.0000 0.2500 0.1250 1
As1 0.0000 0.0000 0.0000 1
As2 0.0000 0.2500 0.3750 1
S1 0.0386 0.0523 0.6510 1
```

=====

Record 6
The following is a DFT calculation (PBE-GGA) of an optimized crystal structure of KAs2S4.

The structure in CIF format:
```
data_KAs2S4
_symmetry_space_group_name_H-M 'C m c m'
_symmetry_Int_Tables_number 63
_symmetry_space_group_name_Hall '-C 2c 2'
_cell_length_a 3.7172
_cell_length_b 12.2872
_cell_length_c 13.4889
_cell_angle_alpha 90.00
_cell_angle_beta 90.00
_cell_angle_gamma 90.00
loop_
_atom_site_label
_atom_site_fract_x
_atom_site_fract_y
_atom_site_fract_z
_atom_site_occupancy
K1 0.0000 0.0987 0.2500 1
As1 0.0000 0.3599 0.0677 1
S1 0.0000 0.0000 0.0000 1
S2 0.0000 0.2712 0.5994 1
S3 0.0000 0.3978 0.2500 1
```

=====

Number 1: ΔE_f (raw) -0.5 eV/f.u., E -3.7278 eV/atom. Number 2: ΔE_f (raw) -1.2 eV/f.u., E -4.0014 eV/atom. Number 3: ΔE_f (raw) -0.6 eV/f.u., E -2.8903 eV/atom. Number 4: ΔE_f (raw) -2.5 eV/f.u., E -4.1356 eV/atom. Number 5: ΔE_f (raw) -4.9 eV/f.u., E -4.0473 eV/atom. Number 6: ΔE_f (raw) -1.6 eV/f.u., E -4.0722 eV/atom.